# CaCoI2F PBE with a Hubbard U relaxed
# E	-12.0	eV/f.u.
data_CaCoI2F
_cell_length_a 5.9119
_cell_length_b 6.4333
_cell_length_c 5.9119
_cell_angle_alpha 90.00
_cell_angle_beta 90.00
_cell_angle_gamma 90.00
_symmetry_space_group_name_H-M 'P 1'
_symmetry_Int_Tables_number 1
loop_
_symmetry_equiv_pos_as_xyz
'x,y,z'
loop_
_atom_site_label
_atom_site_fract_x
_atom_site_fract_y
_atom_site_fract_z
I1 0.0000 0.0000 0.5000
I2 0.5000 0.0000 0.0000
Ca1 0.0000 0.0000 0.0000
Co1 0.0000 0.5000 0.0000
F1 0.5000 0.5000 0.5000